1.
VASP calculation (GGA-PBE) on a relaxed structure of Sr6As2SeI3.

a b c (Å): 7.9528 7.9528 8.2339
angles (deg): 99.26 99.26 120.00
Last column: nearest neighbours and their distance in Å.
Sites, in units of the cell vectors:
Sr (0.9318, 0.5922, 0.7954)  2 As 3.07, 1 Se 3.14
Sr (0.7281, 0.7281, 0.2034)  2 As 3.07, 1 Se 3.13
Sr (0.0682, 0.4078, 0.2046)  2 As 3.07, 1 Se 3.14
Sr (0.5922, 0.9318, 0.7954)  2 As 3.07, 1 Se 3.14
Sr (0.2719, 0.2719, 0.7966)  2 As 3.07, 1 Se 3.13
Sr (0.4078, 0.0682, 0.2046)  2 As 3.07, 1 Se 3.14
As (0.3331, 0.6669, 0.0000)  6 Sr 3.07
As (0.6669, 0.3331, 0.0000)  6 Sr 3.07
Se (0.0000, 0.0000, 0.0000)  6 Sr 3.13-3.14
I (0.1643, 0.8357, 0.5000)  6 Sr 3.50-3.53
I (0.8357, 0.1643, 0.5000)  6 Sr 3.50-3.53
I (0.5000, 0.5000, 0.5000)  6 Sr 3.48-3.53

Summary:
formation energy from raw total energies: -1510 meV per atom
magnetic moment: 0.000 μB/atom

=====

2.
VASP calculation (GGA-PBE) on a relaxed structure of Tb6As2Se3I.

a b c (Å): 4.1552 8.3675 9.2900
angles (deg): 102.18 102.92 90.00
Last column: nearest neighbours and their distance in Å.
Sites, in units of the cell vectors:
Tb (0.3178, 0.8950, 0.6356)  3 Se 2.84-3.03, 2 As 2.87
Tb (0.6694, 0.5773, 0.3388)  3 As 2.88-2.91, 3 Se 2.99-3.04
Tb (0.6822, 0.1050, 0.3644)  3 Se 2.84-3.03, 2 As 2.87
Tb (0.0073, 0.2867, 0.0146)  3 Se 2.76-2.94, 1 As 2.85
Tb (0.9927, 0.7133, 0.9854)  3 Se 2.76-2.94, 1 As 2.85
Tb (0.3306, 0.4227, 0.6612)  3 As 2.88-2.91, 3 Se 2.99-3.04
As (0.8323, 0.6668, 0.6646)  6 Tb 2.85-2.91
As (0.1677, 0.3332, 0.3354)  6 Tb 2.85-2.91
Se (0.5000, 0.5000, 0.0000)  6 Tb 2.76-2.99
Se (0.8424, 0.1646, 0.6848)  6 Tb 2.84-3.04
Se (0.1576, 0.8354, 0.3152)  6 Tb 2.84-3.04
I (0.5000, 0.0000, 0.0000)  6 Tb 3.15-3.23

Summary:
formation energy from raw total energies: -1538 meV per atom
magnetic moment: 0.000 μB/atom

=====

3.
VASP calculation (GGA-PBE) on a relaxed structure of TcAs2SeI.

a b c (Å): 4.9603 4.9603 4.8189
angles (deg): 90.00 90.00 90.00
Last column: nearest neighbours and their distance in Å.
Sites, in units of the cell vectors:
I (0.5000, 0.5000, 0.5000)  8 As 3.46, 4 Se 3.51
As (0.0000, 0.5000, 0.0000)  2 Tc 2.48
As (0.5000, 0.0000, 0.0000)  2 Tc 2.48
Tc (0.0000, 0.0000, 0.0000)  2 Se 2.41, 4 As 2.48
Se (0.0000, 0.0000, 0.5000)  2 Tc 2.41

Summary:
formation energy from raw total energies: 361 meV per atom
magnetic moment: 0.000 μB/atom
energy relative to the lowest polymorph listed for this composition: 0.000 eV per atom

=====

4.
VASP calculation (GGA-PBE) on a relaxed structure of Te2AsSeI.

a b c (Å): 5.5219 5.5219 5.3985
angles (deg): 90.00 90.00 90.00
Last column: nearest neighbours and their distance in Å.
Sites, in units of the cell vectors:
I (0.0000, 0.0000, 0.5000)  2 As 2.70
As (0.0000, 0.0000, 0.0000)  2 I 2.70, 4 Te 2.76
Te (0.0000, 0.5000, 0.0000)  2 As 2.76
Te (0.5000, 0.0000, 0.0000)  2 As 2.76
Se (0.5000, 0.5000, 0.5000)  8 Te 3.86, 4 I 3.90

Summary:
formation energy from raw total energies: 649 meV per atom
magnetic moment: 0.000 μB/atom
energy relative to the lowest polymorph listed for this composition: 0.000 eV per atom

=====

5.
VASP calculation (GGA-PBE) on a relaxed structure of TeAs2SeI.

a b c (Å): 5.4853 5.4853 5.2728
angles (deg): 90.00 90.00 90.00
Last column: nearest neighbours and their distance in Å.
Sites, in units of the cell vectors:
I (0.5000, 0.5000, 0.5000)  8 As 3.80, 4 Se 3.88
As (0.0000, 0.5000, 0.0000)  2 Te 2.74
As (0.5000, 0.0000, 0.0000)  2 Te 2.74
Te (0.0000, 0.0000, 0.0000)  2 Se 2.64, 4 As 2.74
Se (0.0000, 0.0000, 0.5000)  2 Te 2.64

Summary:
formation energy from raw total energies: 822 meV per atom
magnetic moment: 0.099 μB/atom
energy relative to the lowest polymorph listed for this composition: 0.000 eV per atom

=====

6.
VASP calculation (GGA-PBE) on a relaxed structure of Te2AsSeI.

a b c (Å): 5.5504 5.5504 5.5442
angles (deg): 90.00 90.00 90.00
Last column: nearest neighbours and their distance in Å.
Sites, in units of the cell vectors:
I (0.0000, 0.0000, 0.5000)  2 Se 2.77
As (0.5000, 0.5000, 0.5000)  8 Te 3.92, 4 I 3.92
Te (0.0000, 0.5000, 0.0000)  2 Se 2.78
Te (0.5000, 0.0000, 0.0000)  2 Se 2.78
Se (0.0000, 0.0000, 0.0000)  2 I 2.77, 4 Te 2.78

Summary:
formation energy from raw total energies: 776 meV per atom
magnetic moment: 0.273 μB/atom
energy relative to the lowest polymorph listed for this composition: 0.127 eV per atom

=====

7.
VASP calculation (GGA-PBE) on a relaxed structure of Tl2AsSeI.

a b c (Å): 6.3847 4.8204 6.3847
angles (deg): 90.00 90.00 90.00
Last column: nearest neighbours and their distance in Å.
Sites, in units of the cell vectors:
I (0.5000, 0.5000, 0.5000)  8 Tl 4.00
Tl (0.0000, 0.0000, 0.5000)  2 Se 3.19
Tl (0.5000, 0.0000, 0.0000)  2 Se 3.19
As (0.0000, 0.5000, 0.0000)  2 Se 2.41
Se (0.0000, 0.0000, 0.0000)  2 As 2.41

Summary:
formation energy from raw total energies: -43 meV per atom
magnetic moment: 0.000 μB/atom

=====

8.
VASP calculation (GGA-PBE) on a relaxed structure of As2WSeI.

a b c (Å): 5.0473 5.0473 4.8235
angles (deg): 90.00 90.00 90.00
Last column: nearest neighbours and their distance in Å.
Sites, in units of the cell vectors:
I (0.5000, 0.5000, 0.5000)  8 As 3.49, 4 Se 3.57
As (0.0000, 0.5000, 0.0000)  2 W 2.52
As (0.5000, 0.0000, 0.0000)  2 W 2.52
Se (0.0000, 0.0000, 0.5000)  2 W 2.41
W (0.0000, 0.0000, 0.0000)  2 Se 2.41, 4 As 2.52

Summary:
formation energy from raw total energies: 362 meV per atom
magnetic moment: 0.000 μB/atom
energy relative to the lowest polymorph listed for this composition: 0.000 eV per atom

=====

9.
VASP calculation (GGA-PBE) on a relaxed structure of As2WSeI.

a b c (Å): 5.3067 5.3067 5.1825
angles (deg): 90.00 90.00 90.00
Last column: nearest neighbours and their distance in Å.
Sites, in units of the cell vectors:
I (0.0000, 0.0000, 0.0000)  2 Se 2.59, 4 As 2.65
As (0.0000, 0.5000, 0.0000)  2 I 2.65
As (0.5000, 0.0000, 0.0000)  2 I 2.65
Se (0.0000, 0.0000, 0.5000)  2 I 2.59
W (0.5000, 0.5000, 0.5000)  8 As 3.71, 4 Se 3.75

Summary:
formation energy from raw total energies: 2068 meV per atom
magnetic moment: 0.552 μB/atom
energy relative to the lowest polymorph listed for this composition: 1.706 eV per atom

=====

10.
VASP calculation (GGA-PBE) on a relaxed structure of ZnAsSe2I.

a b c (Å): 5.3749 5.3749 5.5652
angles (deg): 90.00 90.00 90.00
Last column: nearest neighbours and their distance in Å.
Sites, in units of the cell vectors:
I (0.0000, 0.0000, 0.0000)  4 Se 2.69, 2 As 2.78
As (0.0000, 0.0000, 0.5000)  2 I 2.78
Zn (0.5000, 0.5000, 0.5000)  4 As 3.80, 8 Se 3.87
Se (0.0000, 0.5000, 0.0000)  2 I 2.69
Se (0.5000, 0.0000, 0.0000)  2 I 2.69

Summary:
formation energy from raw total energies: 1021 meV per atom
magnetic moment: 0.135 μB/atom
energy relative to the lowest polymorph listed for this composition: 0.494 eV per atom

=====

11.
VASP calculation (GGA-PBE) on a relaxed structure of ZnAsSe2I.

a b c (Å): 4.9256 4.9256 5.1217
angles (deg): 90.00 90.00 90.00
Last column: nearest neighbours and their distance in Å.
Sites, in units of the cell vectors:
I (0.5000, 0.5000, 0.5000)  4 As 3.48, 8 Se 3.55
As (0.0000, 0.0000, 0.5000)  2 Zn 2.56
Zn (0.0000, 0.0000, 0.0000)  4 Se 2.46, 2 As 2.56
Se (0.0000, 0.5000, 0.0000)  2 Zn 2.46
Se (0.5000, 0.0000, 0.0000)  2 Zn 2.46

Summary:
formation energy from raw total energies: 527 meV per atom
magnetic moment: 0.000 μB/atom
energy relative to the lowest polymorph listed for this composition: 0.000 eV per atom

=====

12.
VASP calculation (GGA-PBE) on a relaxed structure of Si2AsI.

a b c (Å): 7.2340 7.2340 6.4722
angles (deg): 56.02 56.02 90.00
Last column: nearest neighbours and their distance in Å.
Sites, in units of the cell vectors:
I (0.0000, 0.0000, 0.0000)  4 Si 3.02
I (0.7500, 0.2500, 0.5000)  4 Si 3.02
As (0.5000, 0.5000, 0.0000)  4 Si 2.50
As (0.2500, 0.7500, 0.5000)  4 Si 2.50
Si (0.5699, 0.1250, 0.2500)  2 As 2.50
Si (0.1801, 0.6250, 0.2500)  2 As 2.50
Si (0.3750, 0.4301, 0.7500)  2 As 2.50
Si (0.8750, 0.8199, 0.7500)  2 As 2.50

Summary:
formation energy from raw total energies: 555 meV per atom
magnetic moment: 0.000 μB/atom
energy relative to the lowest polymorph listed for this composition: 0.000 eV per atom

=====

13.
VASP calculation (GGA-PBE) on a relaxed structure of SiAs2I.

a b c (Å): 6.9557 6.9557 6.7777
angles (deg): 59.13 59.13 90.00
Last column: nearest neighbours and their distance in Å.
Sites, in units of the cell vectors:
I (0.0000, 0.0000, 0.0000)  4 As 3.08
I (0.7500, 0.2500, 0.5000)  4 As 3.08
As (0.5508, 0.1250, 0.2500)  2 Si 2.42
As (0.1992, 0.6250, 0.2500)  2 Si 2.42
As (0.3750, 0.4492, 0.7500)  2 Si 2.42
As (0.8750, 0.8008, 0.7500)  2 Si 2.42
Si (0.5000, 0.5000, 0.0000)  4 As 2.42
Si (0.2500, 0.7500, 0.5000)  4 As 2.42

Summary:
formation energy from raw total energies: 376 meV per atom
magnetic moment: 0.000 μB/atom

=====

14.
VASP calculation (GGA-PBE) on a relaxed structure of Si2AsI.

a b c (Å): 4.9464 4.9464 4.9464
angles (deg): 60.00 60.00 60.00
Last column: nearest neighbours and their distance in Å.
Sites, in units of the cell vectors:
I (0.5000, 0.5000, 0.5000)  8 Si 3.03
As (0.0000, 0.0000, 0.0000)  8 Si 3.03
Si (0.2500, 0.2500, 0.2500)  4 I 3.03, 4 As 3.03
Si (0.7500, 0.7500, 0.7500)  4 As 3.03, 4 I 3.03

Summary:
formation energy from raw total energies: 808 meV per atom
magnetic moment: 0.000 μB/atom
energy relative to the lowest polymorph listed for this composition: 0.253 eV per atom

=====

15.
VASP calculation (GGA-PBE) on a relaxed structure of Si3AsI.

a b c (Å): 5.0051 5.0051 5.0051
angles (deg): 90.00 90.00 90.00
Last column: nearest neighbours and their distance in Å.
Sites, in units of the cell vectors:
I (0.5000, 0.5000, 0.5000)  12 Si 3.54
As (0.0000, 0.0000, 0.0000)  6 Si 2.50
Si (0.0000, 0.5000, 0.0000)  2 As 2.50
Si (0.0000, 0.0000, 0.5000)  2 As 2.50
Si (0.5000, 0.0000, 0.0000)  2 As 2.50

Summary:
formation energy from raw total energies: 1037 meV per atom
magnetic moment: 0.000 μB/atom
energy relative to the lowest polymorph listed for this composition: 0.000 eV per atom

=====

16.
VASP calculation (GGA-PBE) on a relaxed structure of Sm4SiAsI2.

a b c (Å): 4.2816 7.4114 7.9840
angles (deg): 108.01 90.00 90.00
Last column: nearest neighbours and their distance in Å.
Sites, in units of the cell vectors:
Sm (0.5000, 0.2253, 0.1937)  2 Si 2.86, 1 As 2.91
Sm (0.5000, 0.7747, 0.8063)  2 Si 2.86, 1 As 2.91
Sm (0.0000, 0.2634, 0.8069)  1 Si 2.84, 2 As 2.89
Sm (0.0000, 0.7366, 0.1931)  1 Si 2.84, 2 As 2.89
Si (0.0000, 0.0000, 0.0000)  6 Sm 2.84-2.86
As (0.5000, 0.5000, 0.0000)  6 Sm 2.89-2.91
I (0.5000, 0.0000, 0.5000)  6 Sm 3.36-3.38
I (0.0000, 0.5000, 0.5000)  6 Sm 3.41-3.43

Summary:
formation energy from raw total energies: -1118 meV per atom
magnetic moment: 0.000 μB/atom

=====

17.
VASP calculation (GGA-PBE) on a relaxed structure of SiTeAsI2.

a b c (Å): 5.5097 5.5097 5.7106
angles (deg): 90.00 90.00 90.00
Last column: nearest neighbours and their distance in Å.
Sites, in units of the cell vectors:
I (0.0000, 0.5000, 0.0000)  2 As 2.75
I (0.5000, 0.0000, 0.0000)  2 As 2.75
As (0.0000, 0.0000, 0.0000)  4 I 2.75, 2 Te 2.86
Te (0.0000, 0.0000, 0.5000)  2 As 2.86
Si (0.5000, 0.5000, 0.5000)  4 Te 3.90, 8 I 3.97

Summary:
formation energy from raw total energies: 694 meV per atom
magnetic moment: 0.042 μB/atom
energy relative to the lowest polymorph listed for this composition: 0.057 eV per atom

=====

18.
VASP calculation (GGA-PBE) on a relaxed structure of SiTe2AsI.

a b c (Å): 5.3475 5.3475 5.2303
angles (deg): 90.00 90.00 90.00
Last column: nearest neighbours and their distance in Å.
Sites, in units of the cell vectors:
I (0.0000, 0.0000, 0.5000)  2 Si 2.62
As (0.5000, 0.5000, 0.5000)  8 Te 3.74, 4 I 3.78
Te (0.0000, 0.5000, 0.0000)  2 Si 2.67
Te (0.5000, 0.0000, 0.0000)  2 Si 2.67
Si (0.0000, 0.0000, 0.0000)  2 I 2.62, 4 Te 2.67

Summary:
formation energy from raw total energies: 687 meV per atom
magnetic moment: 0.000 μB/atom
energy relative to the lowest polymorph listed for this composition: 0.000 eV per atom

=====

19.
VASP calculation (GGA-PBE) on a relaxed structure of SiTe2AsI.

a b c (Å): 5.5012 5.5012 5.4445
angles (deg): 90.00 90.00 90.00
Last column: nearest neighbours and their distance in Å.
Sites, in units of the cell vectors:
I (0.0000, 0.0000, 0.5000)  2 As 2.72
As (0.0000, 0.0000, 0.0000)  2 I 2.72, 4 Te 2.75
Te (0.0000, 0.5000, 0.0000)  2 As 2.75
Te (0.5000, 0.0000, 0.0000)  2 As 2.75
Si (0.5000, 0.5000, 0.5000)  8 Te 3.87, 4 I 3.89

Summary:
formation energy from raw total energies: 763 meV per atom
magnetic moment: 0.000 μB/atom
energy relative to the lowest polymorph listed for this composition: 0.076 eV per atom

=====

20.
VASP calculation (GGA-PBE) on a relaxed structure of SiTeAsI2.

a b c (Å): 5.3892 5.3892 5.6436
angles (deg): 90.00 90.00 90.00
Last column: nearest neighbours and their distance in Å.
Sites, in units of the cell vectors:
I (0.0000, 0.5000, 0.0000)  2 Si 2.69
I (0.5000, 0.0000, 0.0000)  2 Si 2.69
As (0.5000, 0.5000, 0.5000)  4 Te 3.81, 8 I 3.90
Te (0.0000, 0.0000, 0.5000)  2 Si 2.82
Si (0.0000, 0.0000, 0.0000)  4 I 2.69, 2 Te 2.82

Summary:
formation energy from raw total energies: 638 meV per atom
magnetic moment: 0.282 μB/atom
energy relative to the lowest polymorph listed for this composition: 0.000 eV per atom